# PBE KNaLi2Sn, relaxed
data_KNaLi2Sn
_cell_length_a 5.412
_cell_length_b 5.412
_cell_length_c 5.880
_cell_angle_alpha 90.00
_cell_angle_beta 90.00
_cell_angle_gamma 90.00
_symmetry_space_group_name_H-M 'P 4/m m m'
_symmetry_Int_Tables_number 123
_symmetry_space_group_name_Hall '-P 4 2'
loop_
_atom_site_label
_atom_site_type_symbol
_atom_site_fract_x
_atom_site_fract_y
_atom_site_fract_z
K1 K 0.000 0.000 0.000
Na1 Na 0.500 0.500 0.000
Li1 Li 0.000 0.500 0.500
Sn1 Sn 0.500 0.500 0.500
# V = 34.4 Å³/atom
# E_form = -136 meV/atom
# magnetic moment = 0.0 μB per formula unit
# total energy = -2.19 eV/atom

***

# PBE KNa2LiSn, relaxed
data_KNa2LiSn
_cell_length_a 5.977
_cell_length_b 5.977
_cell_length_c 5.443
_cell_angle_alpha 90.00
_cell_angle_beta 90.00
_cell_angle_gamma 90.00
_symmetry_space_group_name_H-M 'P 4/m m m'
_symmetry_Int_Tables_number 123
_symmetry_space_group_name_Hall '-P 4 2'
loop_
_atom_site_label
_atom_site_type_symbol
_atom_site_fract_x
_atom_site_fract_y
_atom_site_fract_z
K1 K 0.000 0.000 0.000
Na1 Na 0.000 0.500 0.500
Li1 Li 0.500 0.500 0.000
Sn1 Sn 0.500 0.500 0.500
# V = 38.9 Å³/atom
# E_form = -94 meV/atom
# magnetic moment = 0.0 μB per formula unit
# total energy = -2.02 eV/atom
# distance to the lowest polymorph of the same formula = 0.0 meV/atom

***

# PBE KNa2SrLi, relaxed
data_KNa2SrLi
_cell_length_a 6.090
_cell_length_b 6.090
_cell_length_c 6.508
_cell_angle_alpha 90.00
_cell_angle_beta 90.00
_cell_angle_gamma 90.00
_symmetry_space_group_name_H-M 'P 4/m m m'
_symmetry_Int_Tables_number 123
_symmetry_space_group_name_Hall '-P 4 2'
loop_
_atom_site_label
_atom_site_type_symbol
_atom_site_fract_x
_atom_site_fract_y
_atom_site_fract_z
K1 K 0.000 0.000 0.000
Na1 Na 0.000 0.500 0.500
Sr1 Sr 0.500 0.500 0.000
Li1 Li 0.500 0.500 0.500
# V = 48.3 Å³/atom
# E_form = 172 meV/atom
# magnetic moment = 0.0 μB per formula unit
# total energy = -1.29 eV/atom

***

# PBE KNaSrLi, relaxed
data_KNaSrLi
_cell_length_a 8.968
_cell_length_b 8.968
_cell_length_c 8.968
_cell_angle_alpha 90.00
_cell_angle_beta 90.00
_cell_angle_gamma 90.00
_symmetry_space_group_name_H-M 'F -4 3 m'
_symmetry_Int_Tables_number 216
_symmetry_space_group_name_Hall 'F -4 2 3'
loop_
_atom_site_label
_atom_site_type_symbol
_atom_site_fract_x
_atom_site_fract_y
_atom_site_fract_z
K1 K 0.000 0.000 0.000
Na1 Na 0.250 0.250 0.250
Sr1 Sr 0.000 0.000 0.500
Li1 Li 0.250 0.250 0.750
# V = 45.1 Å³/atom
# E_form = 114 meV/atom
# magnetic moment = 0.0 μB per formula unit
# total energy = -1.39 eV/atom

***

# PBE K2NaLi3Te4, relaxed
data_K2NaLi3Te4
_cell_length_a 4.933
_cell_length_b 4.933
_cell_length_c 11.937
_cell_angle_alpha 90.00
_cell_angle_beta 90.00
_cell_angle_gamma 90.00
_symmetry_space_group_name_H-M 'P -4 m 2'
_symmetry_Int_Tables_number 115
loop_
_symmetry_equiv_pos_as_xyz
'x,y,z'
'y,-x,-z'
'-x,-y,z'
'-y,x,-z'
'-x,y,z'
'-y,-x,-z'
'x,-y,z'
'y,x,-z'
loop_
_atom_site_label
_atom_site_type_symbol
_atom_site_fract_x
_atom_site_fract_y
_atom_site_fract_z
K1 K 0.000 0.500 0.247
Na1 Na 0.000 0.000 0.500
Li1 Li 0.000 0.500 0.871
Li2 Li 0.500 0.500 0.500
Te1 Te 0.000 0.000 0.000
Te2 Te 0.000 0.500 0.644
Te3 Te 0.500 0.500 0.000
# V = 29.1 Å³/atom
# magnetic moment = 0.0 μB per formula unit
# energy relative to the elements, uncorrected = -0.91 eV/atom
# total energy = -3.09 eV/atom

***

# PBE K2NaLiTe2, relaxed
data_K2NaLiTe2
_cell_length_a 7.058
_cell_length_b 16.047
_cell_length_c 7.008
_cell_angle_alpha 90.00
_cell_angle_beta 90.00
_cell_angle_gamma 90.00
_symmetry_space_group_name_H-M 'I b a m'
_symmetry_Int_Tables_number 72
_symmetry_space_group_name_Hall '-I 2 2c'
loop_
_atom_site_label
_atom_site_type_symbol
_atom_site_fract_x
_atom_site_fract_y
_atom_site_fract_z
K1 K 0.248 0.171 0.000
Na1 Na 0.000 0.000 0.250
Li1 Li 0.000 0.500 0.250
Te1 Te 0.230 0.394 0.000
# V = 33.1 Å³/atom
# magnetic moment = 0.0 μB per formula unit
# energy relative to the elements, uncorrected = -1.03 eV/atom
# total energy = -2.98 eV/atom

***

Repeat the fourth record exactly.
# PBE KNaSrLi, relaxed
data_KNaSrLi
_cell_length_a 8.968
_cell_length_b 8.968
_cell_length_c 8.968
_cell_angle_alpha 90.00
_cell_angle_beta 90.00
_cell_angle_gamma 90.00
_symmetry_space_group_name_H-M 'F -4 3 m'
_symmetry_Int_Tables_number 216
_symmetry_space_group_name_Hall 'F -4 2 3'
loop_
_atom_site_label
_atom_site_type_symbol
_atom_site_fract_x
_atom_site_fract_y
_atom_site_fract_z
K1 K 0.000 0.000 0.000
Na1 Na 0.250 0.250 0.250
Sr1 Sr 0.000 0.000 0.500
Li1 Li 0.250 0.250 0.750
# V = 45.1 Å³/atom
# E_form = 114 meV/atom
# magnetic moment = 0.0 μB per formula unit
# total energy = -1.39 eV/atom

***

Number 4 is which compound?
KNaSrLi

***

Which value of magnetic moment does entry 4 give?
0.0 μB per formula unit